# LaCoH6 (GGA-PBE, relaxed)
# Magnetization   0.1 μB/f.u.
# Final energy   -4.43 eV/atom
# Calculated volume   66 Å³/f.u.
data_LaCoH6
_chemical_formula_sum 'La3 Co3 H18'
_cell_length_a 4.5233
_cell_length_b 4.5233
_cell_length_c 11.1571
_cell_angle_alpha 90.00
_cell_angle_beta 90.00
_cell_angle_gamma 120.00
_symmetry_space_group_name_H-M 'R -3 m'
_symmetry_Int_Tables_number 166
_symmetry_space_group_name_Hall '-R 3 2"'
loop_
_atom_site_label
_atom_site_fract_x
_atom_site_fract_y
_atom_site_fract_z
La1 0.0000 0.0000 0.0000
Co1 0.0000 0.0000 0.5000
H1 0.0023 0.5012 0.0936

---

# SiBiSbPb2 (GGA-PBE, relaxed)
# Magnetization   0.0 μB/f.u.
# Uncorrected formation energy   0.50 eV per atom
# Final energy   -3.67 eV/atom
# Calculated volume   162 Å³/f.u.
data_SiBiSbPb2
_chemical_formula_sum 'Si1 Bi1 Sb1 Pb2'
_cell_length_a 5.4219
_cell_length_b 5.4219
_cell_length_c 5.4959
_cell_angle_alpha 90.00
_cell_angle_beta 90.00
_cell_angle_gamma 90.00
_symmetry_space_group_name_H-M 'P 4/m m m'
_symmetry_Int_Tables_number 123
_symmetry_space_group_name_Hall '-P 4 2'
loop_
_atom_site_label
_atom_site_fract_x
_atom_site_fract_y
_atom_site_fract_z
Si1 0.0000 0.0000 0.0000
Bi1 0.0000 0.0000 0.5000
Sb1 0.5000 0.5000 0.5000
Pb1 0.0000 0.5000 0.0000

---

# KSnAs2Pd4 (GGA-PBE, relaxed)
# Formation energy from the elements   -0.43 eV per atom
# Magnetization   0.0 μB/f.u.
# Final energy   -4.83 eV/atom
# Calculated volume   175 Å³/f.u.
data_KSnAs2Pd4
_chemical_formula_sum 'K1 Sn1 As2 Pd4'
_cell_length_a 4.0589
_cell_length_b 4.0589
_cell_length_c 10.6342
_cell_angle_alpha 90.00
_cell_angle_beta 90.00
_cell_angle_gamma 90.00
_symmetry_space_group_name_H-M 'P 4/m m m'
_symmetry_Int_Tables_number 123
_symmetry_space_group_name_Hall '-P 4 2'
loop_
_atom_site_label
_atom_site_fract_x
_atom_site_fract_y
_atom_site_fract_z
K1 0.0000 0.0000 0.0000
Sn1 0.0000 0.0000 0.5000
As1 0.5000 0.5000 0.1881
Pd1 0.0000 0.5000 0.3242

---

# Si2MoI (GGA-PBE, relaxed)
# Magnetization   0.0 μB/f.u.
# Uncorrected formation energy   1.13 eV per atom
# Final energy   -4.68 eV/atom
# Calculated volume   70 Å³/f.u.
data_Si2MoI
_chemical_formula_sum 'Si8 Mo4 I4'
_cell_length_a 6.5559
_cell_length_b 6.5559
_cell_length_c 6.5559
_cell_angle_alpha 90.00
_cell_angle_beta 90.00
_cell_angle_gamma 90.00
_symmetry_space_group_name_H-M 'F m -3 m'
_symmetry_Int_Tables_number 225
_symmetry_space_group_name_Hall '-F 4 2 3'
loop_
_atom_site_label
_atom_site_fract_x
_atom_site_fract_y
_atom_site_fract_z
Si1 0.2500 0.2500 0.2500
Mo1 0.0000 0.0000 0.0000
I1 0.0000 0.0000 0.5000